DFT (GGA+U) results for a geometry-optimized Tl3Fe2CuF9 structure.

Cell: 6.009 6.009 7.243 Å, 90.00 90.00 120.00°
Sites, in units of the cell vectors:
Tl 0.000 0.000 0.000
Tl 0.333 0.667 0.655
Tl 0.667 0.333 0.345
Fe 0.333 0.667 0.164
Fe 0.667 0.333 0.836
Cu 0.000 0.000 0.500
F 0.000 0.500 0.000
F 0.168 0.337 0.327
F 0.168 0.832 0.327
F 0.337 0.168 0.673
F 0.500 0.000 0.000
F 0.500 0.500 0.000
F 0.663 0.832 0.327
F 0.832 0.168 0.673
F 0.832 0.663 0.673

Results
Theoretical density ... 7.03 g/cm³
M_tot ... 9.0 Bohr magnetons per cell
Energy ... -4.615 eV per atom